## YSn3As (GGA-PBE)

Data for an optimized crystal structure of YSn3As.

abc: 5.3665 5.3665 5.3665
angles: 90.00 90.00 90.00
With the nearest neighbours (Å) after each atom.
Fractional positions:
Y 0.0000 0.0000 0.0000  12 Sn 3.79
Sn 0.0000 0.5000 0.5000  2 As 2.68
Sn 0.5000 0.0000 0.5000  2 As 2.68
Sn 0.5000 0.5000 0.0000  2 As 2.68
As 0.5000 0.5000 0.5000  6 Sn 2.68

Values from the calculation:
* space group: Pm-3m
* D(E_F): 4.694 states/eV/cell
* calculated formation energy: 0.27 eV per atom
* total moment: 0.0 μB per cell
* total DFT energy (no corrections): -4.352 eV/atom



## PaAlHg2 (GGA-PBE)

Data for an optimized crystal structure of PaAlHg2.

abc: 5.0405 5.0405 5.0405
angles: 60.00 60.00 60.00
With the nearest neighbours (Å) after each atom.
Fractional positions:
Pa 0.0000 0.0000 0.0000  8 Hg 3.09
Al 0.5000 0.5000 0.5000  8 Hg 3.09
Hg 0.2500 0.2500 0.2500  4 Pa 3.09, 4 Al 3.09
Hg 0.7500 0.7500 0.7500  4 Pa 3.09, 4 Al 3.09

Values from the calculation:
* space group: Fm-3m
* D(E_F): 2.795 states/eV/cell
* calculated formation energy: 0.05 eV per atom
* total moment: 0.0 μB per cell
* total DFT energy (no corrections): -3.411 eV/atom



## Rb2TlPb3 (GGA-PBE)

Data for an optimized crystal structure of Rb2TlPb3.

abc: 7.0103 7.0103 8.9482
angles: 129.15 129.15 47.26
With the nearest neighbours (Å) after each atom.
Fractional positions:
Rb 0.0000 0.0000 0.0000  3 Tl 3.82-3.88, 9 Pb 3.86-4.18
Rb 0.1303 0.1303 0.6301  9 Pb 3.82-4.12, 3 Tl 4.09-4.16
Tl 0.7243 0.7243 0.0522  4 Pb 3.18-3.32
Pb 0.4034 0.4034 0.5731  3 Pb 3.16-3.28, 1 Tl 3.32
Pb 0.4040 0.4040 0.2207  2 Pb 3.16-3.18, 2 Tl 3.27
Pb 0.7223 0.7223 0.4056  1 Tl 3.18, 3 Pb 3.18-3.28

Values from the calculation:
* space group: Cm
* D(E_F): 4.173 states/eV/cell
* calculated formation energy: -0.11 eV per atom
* total moment: 0.0 μB per cell
* total DFT energy (no corrections): -2.684 eV/atom



## Na2Cd4Rh (GGA-PBE)

Data for an optimized crystal structure of Na2Cd4Rh.

abc: 8.6028 8.6028 8.6028
angles: 144.77 144.77 50.68
With the nearest neighbours (Å) after each atom.
Fractional positions:
Na 0.1306 0.1306 0.0000  5 Cd 3.10-3.30
Na 0.8694 0.8694 0.0000  5 Cd 3.10-3.30
Cd 0.0000 0.5000 0.5000  2 Rh 2.60
Cd 0.3300 0.3300 0.0000  1 Rh 2.64
Cd 0.5000 0.0000 0.5000  2 Rh 2.60
Cd 0.6700 0.6700 0.0000  1 Rh 2.64
Rh 0.5000 0.5000 0.0000  6 Cd 2.60-2.64

Values from the calculation:
* space group: I4/mmm
* D(E_F): 2.844 states/eV/cell
* calculated formation energy: 0.04 eV per atom
* total moment: 0.0 μB per cell
* total DFT energy (no corrections): -1.913 eV/atom



## ScTiPb2 (GGA-PBE)

Data for an optimized crystal structure of ScTiPb2.

abc: 5.6691 5.6691 5.6691
angles: 48.77 48.77 48.77
With the nearest neighbours (Å) after each atom.
Fractional positions:
Sc 0.0000 0.0000 0.0000  6 Pb 3.01
Ti 0.5000 0.5000 0.5000  6 Pb 2.95
Pb 0.2454 0.2454 0.2454  3 Ti 2.95, 3 Sc 3.01
Pb 0.7546 0.7546 0.7546  3 Ti 2.95, 3 Sc 3.01

Values from the calculation:
* space group: R-3m
* D(E_F): 3.960 states/eV/cell
* calculated formation energy: -0.06 eV per atom
* total moment: 0.0 μB per cell
* total DFT energy (no corrections): -5.471 eV/atom



## Mg2CrBi2 (GGA-PBE)

Data for an optimized crystal structure of Mg2CrBi2.

abc: 7.7984 7.7984 4.3183
angles: 90.00 90.00 90.00
With the nearest neighbours (Å) after each atom.
Fractional positions:
Mg 0.1437 0.3563 0.0000  6 Bi 3.03-3.23, 1 Mg 3.17
Mg 0.3563 0.8563 0.0000  6 Bi 3.03-3.23, 1 Mg 3.17
Mg 0.6437 0.1437 0.0000  6 Bi 3.03-3.23, 1 Mg 3.17
Mg 0.8563 0.6437 0.0000  6 Bi 3.03-3.23, 1 Mg 3.17
Cr 0.0000 0.0000 0.5000  4 Bi 2.92
Cr 0.5000 0.5000 0.5000  4 Bi 2.92
Bi 0.1638 0.6638 0.5000  2 Cr 2.92, 6 Mg 3.03-3.23
Bi 0.3362 0.1638 0.5000  2 Cr 2.92, 6 Mg 3.03-3.23
Bi 0.6638 0.8362 0.5000  2 Cr 2.92, 6 Mg 3.03-3.23
Bi 0.8362 0.3362 0.5000  2 Cr 2.92, 6 Mg 3.03-3.23

Values from the calculation:
* space group: P4/mbm
* D(E_F): 5.031 states/eV/cell
* calculated formation energy: 0.21 eV per atom
* total moment: 7.7 μB per cell
* total DFT energy (no corrections): -3.901 eV/atom



## Ba2YRu (GGA-PBE)

Data for an optimized crystal structure of Ba2YRu.

abc: 7.0644 7.0644 7.0644
angles: 147.73 127.00 63.43
With the nearest neighbours (Å) after each atom.
Fractional positions:
Ba 0.0000 0.0000 0.0000  2 Ru 3.20
Ba 0.6801 0.1801 0.5000  4 Ru 3.73, 2 Y 3.79, 4 Ba 3.82-3.93
Y 0.3550 0.3550 0.0000  2 Ru 2.63
Ru 0.2100 0.7100 0.5000  2 Y 2.63

Values from the calculation:
* space group: Imm2
* D(E_F): 3.405 states/eV/cell
* calculated formation energy: 0.20 eV per atom
* total moment: 0.0 μB per cell
* total DFT energy (no corrections): -4.692 eV/atom



## Nb2Co5Ge3H2 (GGA-PBE)

Data for an optimized crystal structure of Nb2Co5Ge3H2.

abc: 10.4342 10.4342 10.4342
angles: 159.87 159.87 28.61
With the nearest neighbours (Å) after each atom.
Fractional positions:
Nb 0.2013 0.2013 0.0000  1 H 2.30
Nb 0.7987 0.7987 0.0000  1 H 2.30
Co 0.0000 0.0000 0.0000  2 H 1.77
Co 0.0882 0.5882 0.5000  2 H 1.82
Co 0.4118 0.9118 0.5000  2 H 1.82
Co 0.5882 0.0882 0.5000  2 H 1.82
Co 0.9118 0.4118 0.5000  2 H 1.82
Ge 0.3340 0.3340 0.0000  4 Co 2.41, 5 Nb 2.68
Ge 0.5000 0.5000 0.0000  12 Co 2.55-2.58
Ge 0.6660 0.6660 0.0000  4 Co 2.41, 5 Nb 2.68
H 0.0874 0.0874 0.0000  5 Co 1.77-1.82
H 0.9126 0.9126 0.0000  5 Co 1.77-1.82

Values from the calculation:
* space group: I4/mmm
* D(E_F): 9.786 states/eV/cell
* total moment: 1.4 μB per cell
* total DFT energy (no corrections): -6.628 eV/atom



The lowest D(E_F) belongs to which entry?
PaAlHg2



Copy entry 1 word for word.
## YSn3As (GGA-PBE)

Data for an optimized crystal structure of YSn3As.

abc: 5.3665 5.3665 5.3665
angles: 90.00 90.00 90.00
With the nearest neighbours (Å) after each atom.
Fractional positions:
Y 0.0000 0.0000 0.0000  12 Sn 3.79
Sn 0.0000 0.5000 0.5000  2 As 2.68
Sn 0.5000 0.0000 0.5000  2 As 2.68
Sn 0.5000 0.5000 0.0000  2 As 2.68
As 0.5000 0.5000 0.5000  6 Sn 2.68

Values from the calculation:
* space group: Pm-3m
* D(E_F): 4.694 states/eV/cell
* calculated formation energy: 0.27 eV per atom
* total moment: 0.0 μB per cell
* total DFT energy (no corrections): -4.352 eV/atom



Number 1 is which compound?
YSn3As